# PBE MoOsPd, relaxed
data_MoOsPd
_space_group_name_H-M_alt 'P 1 21/m 1'
_space_group_IT_number 11
_space_group_name_Hall '-P 2yb'
_cell_length_a 4.577
_cell_length_b 2.793
_cell_length_c 7.307
_cell_angle_alpha 90.00
_cell_angle_beta 99.78
_cell_angle_gamma 90.00
loop_
_atom_site_label
_atom_site_type_symbol
_atom_site_fract_x
_atom_site_fract_y
_atom_site_fract_z
Mo1 Mo 0.172 0.250 0.202
Os1 Os 0.338 0.250 0.871
Pd1 Pd 0.262 0.750 0.539
# **ΔH_f (0 K)**: 0.101 eV/atom
# **Offset from the most stable computed form**: 30.9 kJ/mol of formula units

=====

# PBE Mo2OsPd, relaxed
data_Mo2OsPd
_space_group_name_H-M_alt 'P 4/m m m'
_space_group_IT_number 123
_space_group_name_Hall '-P 4 2'
_cell_length_a 3.919
_cell_length_b 3.919
_cell_length_c 3.939
_cell_angle_alpha 90.00
_cell_angle_beta 90.00
_cell_angle_gamma 90.00
loop_
_atom_site_label
_atom_site_type_symbol
_atom_site_fract_x
_atom_site_fract_y
_atom_site_fract_z
Mo1 Mo 0.000 0.500 0.000
Os1 Os 0.000 0.000 0.500
Pd1 Pd 0.500 0.500 0.500
# **ΔH_f (0 K)**: 0.023 eV/atom
# **Offset from the most stable computed form**: 0.0 kJ/mol of formula units

=====

no.,theoretical density (g/cm3),uncorrected energy (Ry per atom)
1,14.16,-0.6603
2,13.41,-0.6981